Model i:
! PBE AgWSCl2, relaxed; values from VASP
! Calculated volume: 118 Å³/f.u.
! Crystal system: tetragonal
! Total moment: 0.817 μB/atom
&SYSTEM
  ibrav = 0, nat = 5, ntyp = 4
/
ATOMIC_SPECIES
W 183.84 W.upf
Cl 35.45 Cl.upf
Ag 107.87 Ag.upf
S 32.06 S.upf
ATOMIC_POSITIONS crystal
W 0.500 0.500 0.500
Cl 0.500 0.000 0.000
Cl 0.000 0.500 0.000
Ag 0.000 0.000 0.000
S 0.000 0.000 0.500
CELL_PARAMETERS angstrom
4.799 0.000 0.000
0.000 4.799 0.000
0.000 0.000 5.125


Model ii:
! PBE AgWSCl2, relaxed; values from VASP
! Calculated volume: 112 Å³/f.u.
! Crystal system: tetragonal
! Total moment: 0.215 μB/atom
&SYSTEM
  ibrav = 0, nat = 5, ntyp = 4
/
ATOMIC_SPECIES
Cl 35.45 Cl.upf
Ag 107.87 Ag.upf
W 183.84 W.upf
S 32.06 S.upf
ATOMIC_POSITIONS crystal
Cl 0.500 0.000 0.000
Cl 0.000 0.500 0.000
Ag 0.500 0.500 0.500
W 0.000 0.000 0.000
S 0.000 0.000 0.500
CELL_PARAMETERS angstrom
-2.948 3.038 -2.507
-3.382 -3.557 -0.335
-1.895 1.429 3.960


Which one sits at the bottom of the stability order? model i does.


Model i:
! PBE YAgS2Cl, relaxed; values from VASP
! Calculated volume: 146 Å³/f.u.
! Crystal system: tetragonal
! Total moment: 0.128 μB/atom
&SYSTEM
  ibrav = 0, nat = 5, ntyp = 4
/
ATOMIC_SPECIES
S 32.06 S.upf
Y 88.91 Y.upf
Ag 107.87 Ag.upf
Cl 35.45 Cl.upf
ATOMIC_POSITIONS crystal
S 0.000 0.500 0.000
S 0.500 0.000 0.000
Y 0.000 0.000 0.000
Ag 0.500 0.500 0.500
Cl 0.000 0.000 0.500
CELL_PARAMETERS angstrom
5.264 0.000 0.000
0.000 5.264 0.000
0.000 0.000 5.254


Model ii:
! PBE YAgS2Cl, relaxed; values from VASP
! Calculated volume: 114 Å³/f.u.
! Crystal system: tetragonal
! Total moment: 0.000 μB/atom
&SYSTEM
  ibrav = 0, nat = 5, ntyp = 4
/
ATOMIC_SPECIES
Ag 107.87 Ag.upf
Y 88.91 Y.upf
Cl 35.45 Cl.upf
S 32.06 S.upf
ATOMIC_POSITIONS crystal
Ag 0.000 0.000 0.000
Y 0.500 0.500 0.500
Cl 0.000 0.000 0.500
S 0.500 0.000 0.000
S 0.000 0.500 0.000
CELL_PARAMETERS angstrom
-3.954 0.002 -2.894
1.834 -3.788 -2.509
-2.176 -3.022 2.971


Which one sits at the bottom of the stability order? model ii does.


Model i:
! PBE ZnAgS2Cl, relaxed; values from VASP
! Calculated volume: 116 Å³/f.u.
! Crystal system: tetragonal
! Total moment: 0.000 μB/atom
&SYSTEM
  ibrav = 0, nat = 5, ntyp = 4
/
ATOMIC_SPECIES
S 32.06 S.upf
Ag 107.87 Ag.upf
Cl 35.45 Cl.upf
Zn 65.41 Zn.upf
ATOMIC_POSITIONS crystal
S 0.000 0.500 0.000
S 0.500 0.000 0.000
Ag 0.000 0.000 0.000
Cl 0.000 0.000 0.500
Zn 0.500 0.500 0.500
CELL_PARAMETERS angstrom
4.880 0.000 0.000
0.000 4.880 0.000
0.000 0.000 4.888


Model ii:
! PBE ZnAgS2Cl, relaxed; values from VASP
! Calculated volume: 112 Å³/f.u.
! Crystal system: tetragonal
! Total moment: 0.116 μB/atom
&SYSTEM
  ibrav = 0, nat = 5, ntyp = 4
/
ATOMIC_SPECIES
Ag 107.87 Ag.upf
Zn 65.41 Zn.upf
S 32.06 S.upf
Cl 35.45 Cl.upf
ATOMIC_POSITIONS crystal
Ag 0.500 0.500 0.500
Zn 0.000 0.000 0.000
S 0.500 0.000 0.000
S 0.000 0.500 0.000
Cl 0.000 0.000 0.500
CELL_PARAMETERS angstrom
4.584 0.000 0.000
0.000 4.584 0.000
0.000 0.000 5.310


Which one sits at the bottom of the stability order? model i does.


Model i:
! PBE ZrAgS2Cl, relaxed; values from VASP
! Calculated volume: 126 Å³/f.u.
! Crystal system: tetragonal
! Total moment: 0.000 μB/atom
&SYSTEM
  ibrav = 0, nat = 5, ntyp = 4
/
ATOMIC_SPECIES
Zr 91.22 Zr.upf
S 32.06 S.upf
Cl 35.45 Cl.upf
Ag 107.87 Ag.upf
ATOMIC_POSITIONS crystal
Zr 0.000 0.000 0.000
S 0.000 0.500 0.000
S 0.500 0.000 0.000
Cl 0.000 0.000 0.500
Ag 0.500 0.500 0.500
CELL_PARAMETERS angstrom
5.007 0.000 0.000
0.000 5.007 0.000
0.000 0.000 5.029


Model ii:
! PBE ZrAgS2Cl, relaxed; values from VASP
! Calculated volume: 111 Å³/f.u.
! Crystal system: tetragonal
! Total moment: 0.224 μB/atom
&SYSTEM
  ibrav = 0, nat = 5, ntyp = 4
/
ATOMIC_SPECIES
S 32.06 S.upf
Zr 91.22 Zr.upf
Ag 107.87 Ag.upf
Cl 35.45 Cl.upf
ATOMIC_POSITIONS crystal
S 0.000 0.500 0.000
S 0.500 0.000 0.000
Zr 0.500 0.500 0.500
Ag 0.000 0.000 0.000
Cl 0.000 0.000 0.500
CELL_PARAMETERS angstrom
4.861 0.000 0.000
0.000 4.861 0.000
0.000 0.000 4.705


Which one sits at the bottom of the stability order? model ii does.


Model i:
! PBE Ag3SbCl, relaxed; values from VASP
! Calculated volume: 126 Å³/f.u.
! Crystal system: cubic
! Total moment: 0.000 μB/atom
&SYSTEM
  ibrav = 0, nat = 5, ntyp = 3
/
ATOMIC_SPECIES
Ag 107.87 Ag.upf
Sb 121.76 Sb.upf
Cl 35.45 Cl.upf
ATOMIC_POSITIONS crystal
Ag 0.500 0.000 0.000
Ag 0.000 0.000 0.500
Ag 0.000 0.500 0.000
Sb 0.500 0.500 0.500
Cl 0.000 0.000 0.000
CELL_PARAMETERS angstrom
5.015 0.000 0.000
0.000 5.015 0.000
0.000 0.000 5.015


Model ii:
! PBE Ag3SbCl, relaxed; values from VASP
! Calculated volume: 115 Å³/f.u.
! Crystal system: monoclinic
! Total moment: 0.000 μB/atom
&SYSTEM
  ibrav = 0, nat = 20, ntyp = 3
/
ATOMIC_SPECIES
Ag 107.87 Ag.upf
Sb 121.76 Sb.upf
Cl 35.45 Cl.upf
ATOMIC_POSITIONS crystal
Ag 0.750 0.866 0.625
Ag 0.004 0.226 0.125
Ag 0.496 0.226 0.126
Ag 0.996 0.774 0.875
Ag 0.004 0.226 0.626
Ag 0.996 0.774 0.374
Ag 0.504 0.774 0.874
Ag 0.250 0.134 0.875
Ag 0.250 0.134 0.375
Ag 0.504 0.774 0.375
Ag 0.750 0.866 0.125
Ag 0.496 0.226 0.625
Sb 0.250 0.912 0.625
Sb 0.750 0.088 0.875
Sb 0.250 0.912 0.125
Sb 0.750 0.088 0.375
Cl 0.250 0.499 0.875
Cl 0.250 0.499 0.375
Cl 0.750 0.501 0.125
Cl 0.750 0.501 0.625
CELL_PARAMETERS angstrom
6.073 0.000 0.000
0.000 7.598 0.568
0.000 -0.763 9.921


Which one sits at the bottom of the stability order? model i does.


Model i:
! PBE AgSbCl2, relaxed; values from VASP
! Calculated volume: 94 Å³/f.u.
! Crystal system: orthorhombic
! Total moment: 0.000 μB/atom
&SYSTEM
  ibrav = 0, nat = 4, ntyp = 3
/
ATOMIC_SPECIES
Cl 35.45 Cl.upf
Sb 121.76 Sb.upf
Ag 107.87 Ag.upf
ATOMIC_POSITIONS crystal
Cl 0.000 0.000 0.527
Cl 0.000 0.000 0.973
Sb 0.500 0.500 0.250
Ag 0.500 0.500 0.750
CELL_PARAMETERS angstrom
-2.712 -0.104 2.221
0.980 -2.848 -1.796
5.516 -2.281 6.630


Model ii:
! PBE AgSbCl2, relaxed; values from VASP
! Calculated volume: 101 Å³/f.u.
! Crystal system: trigonal
! Total moment: 0.000 μB/atom
&SYSTEM
  ibrav = 0, nat = 4, ntyp = 3
/
ATOMIC_SPECIES
Cl 35.45 Cl.upf
Ag 107.87 Ag.upf
Sb 121.76 Sb.upf
ATOMIC_POSITIONS crystal
Cl 0.900 0.900 0.900
Cl 0.100 0.100 0.100
Ag 0.500 0.500 0.500
Sb 0.000 0.000 0.000
CELL_PARAMETERS angstrom
2.106 0.000 8.799
-1.053 1.824 8.799
-1.053 -1.824 8.799


Model iii:
! PBE AgSbCl2, relaxed; values from VASP
! Calculated volume: 89 Å³/f.u.
! Crystal system: tetragonal
! Total moment: 0.000 μB/atom
&SYSTEM
  ibrav = 0, nat = 4, ntyp = 3
/
ATOMIC_SPECIES
Cl 35.45 Cl.upf
Ag 107.87 Ag.upf
Sb 121.76 Sb.upf
ATOMIC_POSITIONS crystal
Cl 0.000 0.000 0.964
Cl 0.000 0.000 0.536
Ag 0.500 0.500 0.750
Sb 0.500 0.500 0.250
CELL_PARAMETERS angstrom
3.274 0.000 0.000
0.000 3.274 0.000
0.000 0.000 8.344


Model iv:
! PBE AgSbCl2, relaxed; values from VASP
! Calculated volume: 92 Å³/f.u.
! Crystal system: orthorhombic
! Total moment: 0.000 μB/atom
&SYSTEM
  ibrav = 0, nat = 4, ntyp = 3
/
ATOMIC_SPECIES
Cl 35.45 Cl.upf
Ag 107.87 Ag.upf
Sb 121.76 Sb.upf
ATOMIC_POSITIONS crystal
Cl 0.000 0.000 0.000
Cl 0.500 0.500 0.000
Ag 0.000 0.500 0.500
Sb 0.500 0.000 0.500
CELL_PARAMETERS angstrom
5.379 0.059 0.000
-0.911 5.302 0.000
0.000 0.000 3.206


Which one sits at the bottom of the stability order? model iv does.